# Cu2AgW

A geometry-optimized Cu2AgW structure (PBE, Alexandria via LeMat-Bulk).

Properties
Magnetization: 0.00 μB per formula unit
Crystal system: orthorhombic
Energy of formation: 2.4 eV/f.u.
Excess energy over the best structure of this formula in the dataset: 335 meV per atom
Uncorrected energy: -5.402 eV/atom

Lattice parameters (Å, degrees): 2.656 4.639 4.877 90.00 90.00 90.00
Fractional coordinates of all 4 atoms:
Cu: 0.000 0.000 0.000
Cu: 0.500 0.000 0.500
Ag: 0.000 0.500 0.500
W: 0.500 0.500 0.000